(1)
Na2Zn3Au5 | PBE | optimized geometry

Cell: 5.5776 9.0484 9.0484 Å, 70.07 72.05 72.05°
Last column: nearest neighbours and their distance in Å.
Element x y z (fractional)
Au 0.9289 0.8738 0.2685  3 Zn 2.57-2.67
Au 0.4289 0.2685 0.8738  3 Zn 2.57-2.67
Au 0.7500 0.5000 0.5000  4 Zn 2.65, 2 Au 2.79
Au 0.2500 0.5000 0.5000  4 Zn 2.65, 2 Au 2.79
Au 0.0711 0.1262 0.7315  3 Zn 2.57-2.67
Au 0.5711 0.7315 0.1262  3 Zn 2.57-2.67
Au 0.0524 0.1976 0.1976  3 Zn 2.62-2.71, 2 Au 2.79
Au 0.4476 0.8024 0.8024  3 Zn 2.62-2.71, 2 Au 2.79
Au 0.9476 0.8024 0.8024  3 Zn 2.62-2.71, 2 Au 2.79
Au 0.5524 0.1976 0.1976  3 Zn 2.62-2.71, 2 Au 2.79
Na 0.8467 0.4258 0.8808  9 Au 3.11-3.46, 4 Zn 3.18-3.34
Na 0.1533 0.5742 0.1192  9 Au 3.11-3.46, 4 Zn 3.18-3.34
Na 0.6533 0.1192 0.5742  9 Au 3.11-3.46, 4 Zn 3.18-3.34
Na 0.3467 0.8808 0.4258  9 Au 3.11-3.46, 4 Zn 3.18-3.34
Zn 0.3476 0.5728 0.7320  5 Au 2.57-2.65
Zn 0.1524 0.2680 0.4272  5 Au 2.57-2.65
Zn 0.6524 0.4272 0.2680  5 Au 2.57-2.65
Zn 0.7500 0.0000 0.0000  6 Au 2.67-2.71, 2 Zn 2.79
Zn 0.2500 0.0000 0.0000  6 Au 2.67-2.71, 2 Zn 2.79
Zn 0.8476 0.7320 0.5728  5 Au 2.57-2.65

space-group type	Ibam
E	-50.4	eV for the cell shown
ΔH_f (0 K)	-236	meV/atom


(2)
Na3Zn2Au | PBE | optimized geometry

Cell: 6.1727 6.1786 8.8355 Å, 110.47 110.45 90.00°
Last column: nearest neighbours and their distance in Å.
Element x y z (fractional)
Na 0.5000 0.7500 0.0000  4 Zn 3.06, 2 Au 3.09, 6 Na 3.09-3.43
Na 0.5000 0.2500 0.0000  4 Zn 3.06, 2 Au 3.09, 6 Na 3.09-3.43
Na 0.8945 0.1797 0.3595  5 Zn 3.07-3.38, 2 Na 3.43
Na 0.4649 0.6797 0.3595  5 Zn 3.07-3.38, 2 Na 3.43
Na 0.1055 0.8203 0.6405  5 Zn 3.07-3.38, 2 Na 3.43
Na 0.5351 0.3203 0.6405  5 Zn 3.07-3.38, 2 Na 3.43
Au 0.0000 0.7500 0.0000  4 Zn 2.65
Au 0.0000 0.2500 0.0000  4 Zn 2.65
Zn 0.0702 0.3818 0.7636  2 Au 2.65
Zn 0.9298 0.6182 0.2364  2 Au 2.65
Zn 0.6934 0.8818 0.7636  2 Au 2.65
Zn 0.3066 0.1182 0.2364  2 Au 2.65

space-group type	Ibam
E	-20.2	eV for the cell shown
ΔH_f (0 K)	-57	meV/atom


(3)
Na3Zn3Au2 | PBE | optimized geometry

Cell: 4.4367 5.7583 15.0295 Å, 90.00 90.00 112.66°
Last column: nearest neighbours and their distance in Å.
Element x y z (fractional)
Na 0.3828 0.7657 0.7500  5 Zn 3.11-3.27, 4 Au 3.30
Na 0.9166 0.8332 0.3898  4 Au 3.09-3.42, 7 Zn 3.10-3.41
Na 0.9166 0.8332 0.1102  4 Au 3.09-3.42, 7 Zn 3.10-3.41
Na 0.0834 0.1668 0.8898  4 Au 3.09-3.42, 7 Zn 3.10-3.41
Na 0.6172 0.2344 0.2500  5 Zn 3.11-3.27, 4 Au 3.30
Na 0.0834 0.1668 0.6102  4 Au 3.09-3.42, 7 Zn 3.10-3.41
Zn 0.3844 0.7688 0.5322  3 Au 2.63-2.74, 1 Zn 2.64
Zn 0.6781 0.3562 0.7500  2 Au 2.57
Zn 0.3844 0.7688 0.9678  3 Au 2.63-2.74, 1 Zn 2.64
Zn 0.6156 0.2312 0.0322  3 Au 2.63-2.74, 1 Zn 2.64
Zn 0.3219 0.6438 0.2500  2 Au 2.57
Zn 0.6156 0.2312 0.4678  3 Au 2.63-2.74, 1 Zn 2.64
Au 0.2069 0.4138 0.1000  4 Zn 2.57-2.74
Au 0.2069 0.4138 0.4000  4 Zn 2.57-2.74
Au 0.7931 0.5862 0.9000  4 Zn 2.57-2.74
Au 0.7931 0.5862 0.6000  4 Zn 2.57-2.74

space-group type	Cmcm
E	-31.9	eV for the cell shown
ΔH_f (0 K)	-199	meV/atom


(4)
NaZnAu2 | PBE | optimized geometry

Cell: 5.5010 7.3957 15.4698 Å, 90.00 90.00 90.00°
Last column: nearest neighbours and their distance in Å.
Element x y z (fractional)
Na 0.2388 0.7500 0.1119  3 Zn 2.91-3.01, 4 Au 3.18-3.21
Na 0.9691 0.7500 0.3584  3 Zn 2.97-3.02, 8 Au 3.14-3.28
Na 0.4691 0.2500 0.1416  3 Zn 2.97-3.02, 8 Au 3.14-3.28
Na 0.7612 0.2500 0.8881  3 Zn 2.91-3.01, 4 Au 3.18-3.21
Na 0.0309 0.2500 0.6416  3 Zn 2.97-3.02, 8 Au 3.14-3.28
Na 0.5309 0.7500 0.8584  3 Zn 2.97-3.02, 8 Au 3.14-3.28
Na 0.7388 0.2500 0.3881  3 Zn 2.91-3.01, 4 Au 3.18-3.21
Na 0.2612 0.7500 0.6119  3 Zn 2.91-3.01, 4 Au 3.18-3.21
Au 0.7703 0.5544 0.5351  3 Zn 2.66-2.71, 2 Au 2.87-2.89
Au 0.0526 0.9442 0.7871  3 Zn 2.60-2.70, 1 Au 2.87
Au 0.2297 0.4456 0.4649  3 Zn 2.66-2.71, 2 Au 2.87-2.89
Au 0.4474 0.9442 0.2871  3 Zn 2.60-2.70, 1 Au 2.87
Au 0.7297 0.9456 0.0351  3 Zn 2.66-2.71, 2 Au 2.87-2.89
Au 0.2703 0.4456 0.9649  3 Zn 2.66-2.71, 2 Au 2.87-2.89
Au 0.4474 0.5558 0.2871  3 Zn 2.60-2.70, 1 Au 2.87
Au 0.0526 0.5558 0.7871  3 Zn 2.60-2.70, 1 Au 2.87
Au 0.5526 0.0558 0.7129  3 Zn 2.60-2.70, 1 Au 2.87
Au 0.7297 0.5544 0.0351  3 Zn 2.66-2.71, 2 Au 2.87-2.89
Au 0.5526 0.4442 0.7129  3 Zn 2.60-2.70, 1 Au 2.87
Au 0.7703 0.9456 0.5351  3 Zn 2.66-2.71, 2 Au 2.87-2.89
Au 0.2703 0.0544 0.9649  3 Zn 2.66-2.71, 2 Au 2.87-2.89
Au 0.9474 0.0558 0.2129  3 Zn 2.60-2.70, 1 Au 2.87
Au 0.2297 0.0544 0.4649  3 Zn 2.66-2.71, 2 Au 2.87-2.89
Au 0.9474 0.4442 0.2129  3 Zn 2.60-2.70, 1 Au 2.87
Zn 0.4726 0.7500 0.4345  6 Au 2.66-2.70, 1 Na 2.97
Zn 0.0274 0.7500 0.9345  6 Au 2.66-2.70, 1 Na 2.97
Zn 0.2289 0.2500 0.3171  6 Au 2.60-2.71, 1 Na 2.91
Zn 0.7711 0.7500 0.6829  6 Au 2.60-2.71, 1 Na 2.91
Zn 0.7289 0.7500 0.1829  6 Au 2.60-2.71, 1 Na 2.91
Zn 0.5274 0.2500 0.5655  6 Au 2.66-2.70, 1 Na 2.97
Zn 0.2711 0.2500 0.8171  6 Au 2.60-2.71, 1 Na 2.91
Zn 0.9726 0.2500 0.0655  6 Au 2.66-2.70, 1 Na 2.97

space-group type	Pnma
E	-82.1	eV for the cell shown
ΔH_f (0 K)	-278	meV/atom


(5)
NaZn4Au2 | PBE | optimized geometry

Cell: 4.3302 7.6643 7.6643 Å, 90.00 90.00 90.00°
Last column: nearest neighbours and their distance in Å.
Element x y z (fractional)
Zn 0.5000 0.8585 0.3995  3 Au 2.64-2.67, 6 Zn 2.66-2.87
Zn 0.0000 0.6415 0.8995  3 Au 2.64-2.67, 6 Zn 2.66-2.87
Zn 0.5000 0.3995 0.8585  3 Au 2.64-2.67, 6 Zn 2.66-2.87
Zn 0.5000 0.6005 0.1415  3 Au 2.64-2.67, 6 Zn 2.66-2.87
Zn 0.0000 0.1005 0.3585  3 Au 2.64-2.67, 6 Zn 2.66-2.87
Zn 0.0000 0.8995 0.6415  3 Au 2.64-2.67, 6 Zn 2.66-2.87
Zn 0.5000 0.1415 0.6005  3 Au 2.64-2.67, 6 Zn 2.66-2.87
Zn 0.0000 0.3585 0.1005  3 Au 2.64-2.67, 6 Zn 2.66-2.87
Na 0.5000 0.0000 0.0000  6 Au 3.04-3.22, 4 Zn 3.25
Na 0.0000 0.5000 0.5000  6 Au 3.04-3.22, 4 Zn 3.25
Au 0.0000 0.7803 0.2197  6 Zn 2.64-2.67
Au 0.5000 0.2803 0.2803  6 Zn 2.64-2.67
Au 0.5000 0.7197 0.7197  6 Zn 2.64-2.67
Au 0.0000 0.2197 0.7803  6 Zn 2.64-2.67

space-group type	P4_2/mnm
E	-29.4	eV for the cell shown
ΔH_f (0 K)	-246	meV/atom


(6)
NaZnAu2 | PBE | optimized geometry

Cell: 4.5786 4.5786 5.4822 Å, 65.32 65.32 60.00°
Last column: nearest neighbours and their distance in Å.
Element x y z (fractional)
Au 0.2972 0.2972 0.1084  3 Zn 2.69, 3 Au 2.84, 1 Na 2.92
Au 0.7028 0.7028 0.8916  3 Zn 2.69, 3 Au 2.84, 1 Na 2.92
Na 0.5000 0.5000 0.5000  8 Au 2.92-3.24
Zn 0.0000 0.0000 0.0000  6 Au 2.69

space-group type	R-3m
E	-10.0	eV for the cell shown
ΔH_f (0 K)	-219	meV/atom